{
  "formula": "RuRhF6",
  "functional": "GGA-PBE",
  "state": "relaxed",
  "lattice_angstrom": [[-0.263, -4.361, -1.559], [4.903, -0.396, 0.279], [-2.794, -1.215, 3.872]],
  "species": ["Rh", "F", "Ru", "F", "F", "F", "F", "F"],
  "fractional_positions": [[0.500, 0.000, 0.000], [0.250, 0.003, 0.345], [0.000, 0.667, 0.333], [0.750, 0.655, 0.997], [0.250, 0.341, 0.997], [0.750, 0.003, 0.659], [0.750, 0.341, 0.345], [0.250, 0.655, 0.659]],
  "e_form_raw_ev_per_atom": -1.5173,
  "total_magnetization_mub_per_atom": 0.125,
  "total_energy_ev_per_fu": -40.0
}

=====

{
  "formula": "Ru3RhF",
  "functional": "GGA-PBE",
  "state": "relaxed",
  "lattice_angstrom": [[4.756, 0.000, 0.000], [0.000, 4.756, 0.000], [0.000, 0.000, 4.756]],
  "species": ["Ru", "F", "Rh", "Ru", "Ru"],
  "fractional_positions": [[0.500, 0.000, 0.000], [0.500, 0.500, 0.500], [0.000, 0.000, 0.000], [0.000, 0.500, 0.000], [0.000, 0.000, 0.500]],
  "e_form_raw_ev_per_atom": 1.7974,
  "total_magnetization_mub_per_atom": 1.278,
  "polymorph_energy_kj_per_mol_atoms": 77.3,
  "total_energy_ev_per_fu": -28.1
}

=====

{
  "formula": "Ru3RhF",
  "functional": "GGA-PBE",
  "state": "relaxed",
  "lattice_angstrom": [[4.135, 0.000, 0.000], [0.000, 4.135, 0.000], [0.000, 0.000, 4.135]],
  "species": ["Rh", "Ru", "F", "Ru", "Ru"],
  "fractional_positions": [[0.500, 0.500, 0.500], [0.500, 0.000, 0.000], [0.000, 0.000, 0.000], [0.000, 0.500, 0.000], [0.000, 0.000, 0.500]],
  "e_form_raw_ev_per_atom": 0.9959,
  "total_magnetization_mub_per_atom": 0.000,
  "polymorph_energy_kj_per_mol_atoms": 0.0,
  "total_energy_ev_per_fu": -32.1
}

=====

{
  "formula": "RuRh2SeF",
  "functional": "GGA-PBE",
  "state": "relaxed",
  "lattice_angstrom": [[-2.019, -3.212, -1.374], [3.135, -0.966, -2.349], [1.838, -2.676, 3.554]],
  "species": ["Rh", "Se", "F", "Ru", "Rh"],
  "fractional_positions": [[0.000, 0.500, 0.000], [0.000, 0.000, 0.500], [0.000, 0.000, 0.000], [0.500, 0.500, 0.500], [0.500, 0.000, 0.000]],
  "e_form_raw_ev_per_atom": 0.8167,
  "total_magnetization_mub_per_atom": 0.103,
  "total_energy_ev_per_fu": -25.3
}

=====

{
  "formula": "Si2RuRhF",
  "functional": "GGA-PBE",
  "state": "relaxed",
  "lattice_angstrom": [[-4.265, -1.233, -0.283], [1.328, -3.850, -3.242], [0.559, -2.728, 3.469]],
  "species": ["F", "Rh", "Ru", "Si", "Si"],
  "fractional_positions": [[0.500, 0.500, 0.500], [0.000, 0.000, 0.000], [0.000, 0.500, 0.000], [0.500, 0.000, 0.000], [0.000, 0.000, 0.500]],
  "e_form_raw_ev_per_atom": 0.4996,
  "total_magnetization_mub_per_atom": 0.760,
  "total_energy_ev_per_fu": -26.8
}

=====

{
  "formula": "RhSF2",
  "functional": "GGA-PBE",
  "state": "relaxed",
  "lattice_angstrom": [[1.540, 0.000, 9.846], [-0.770, 1.334, 9.846], [-0.770, -1.334, 9.846]],
  "species": ["F", "S", "F", "Rh"],
  "fractional_positions": [[0.936, 0.936, 0.936], [0.500, 0.500, 0.500], [0.064, 0.064, 0.064], [0.000, 0.000, 0.000]],
  "e_form_raw_ev_per_atom": -0.3951,
  "total_magnetization_mub_per_atom": 0.230,
  "polymorph_energy_kj_per_mol_atoms": 13.7,
  "total_energy_ev_per_fu": -16.8
}

=====

{
  "formula": "RhS2F",
  "functional": "GGA-PBE",
  "state": "relaxed",
  "lattice_angstrom": [[0.000, 2.937, 2.937], [2.937, 0.000, 2.937], [2.937, 2.937, 0.000]],
  "species": ["Rh", "S", "F", "S"],
  "fractional_positions": [[0.500, 0.500, 0.500], [0.250, 0.250, 0.250], [0.000, 0.000, 0.000], [0.750, 0.750, 0.750]],
  "e_form_raw_ev_per_atom": -0.2216,
  "total_magnetization_mub_per_atom": 0.000,
  "polymorph_energy_kj_per_mol_atoms": 28.5,
  "total_energy_ev_per_fu": -18.4
}

=====

{
  "formula": "RhS2F",
  "functional": "GGA-PBE",
  "state": "relaxed",
  "lattice_angstrom": [[5.838, 0.000, 0.000], [0.000, 5.838, 0.000], [2.919, 2.919, 4.563]],
  "species": ["F", "S", "S", "Rh", "S", "S", "Rh", "F"],
  "fractional_positions": [[0.250, 0.750, 0.500], [0.375, 0.331, 0.750], [0.875, 0.919, 0.750], [0.750, 0.250, 0.500], [0.669, 0.125, 0.250], [0.081, 0.625, 0.250], [0.000, 0.000, 0.000], [0.500, 0.500, 0.000]],
  "e_form_raw_ev_per_atom": -0.2470,
  "total_magnetization_mub_per_atom": 0.000,
  "polymorph_energy_kj_per_mol_atoms": 26.1,
  "total_energy_ev_per_fu": -18.5
}

=====

{
  "formula": "RhSF2",
  "functional": "GGA-PBE",
  "state": "relaxed",
  "lattice_angstrom": [[-4.294, 7.093, 0.008], [-1.578, -0.965, 8.082], [-1.112, 4.168, 4.533]],
  "species": ["F", "S", "Rh", "S", "Rh", "F", "F", "F"],
  "fractional_positions": [[0.837, 0.125, 0.250], [0.500, 0.500, 0.000], [0.000, 0.000, 0.000], [0.250, 0.750, 0.500], [0.750, 0.250, 0.500], [0.913, 0.625, 0.250], [0.375, 0.163, 0.750], [0.875, 0.087, 0.750]],
  "e_form_raw_ev_per_atom": -0.5366,
  "total_magnetization_mub_per_atom": 0.000,
  "polymorph_energy_kj_per_mol_atoms": 0.0,
  "total_energy_ev_per_fu": -17.4
}

=====

{
  "formula": "Rh2SF",
  "functional": "GGA-PBE",
  "state": "relaxed",
  "lattice_angstrom": [[-1.280, -5.943, -0.861], [5.994, -1.213, -0.539], [2.532, -4.051, 2.304]],
  "species": ["Rh", "F", "F", "Rh", "Rh", "S", "Rh", "S"],
  "fractional_positions": [[0.649, 0.125, 0.250], [0.500, 0.500, 0.000], [0.250, 0.750, 0.500], [0.101, 0.625, 0.250], [0.875, 0.899, 0.750], [0.000, 0.000, 0.000], [0.375, 0.351, 0.750], [0.750, 0.250, 0.500]],
  "e_form_raw_ev_per_atom": -0.3476,
  "total_magnetization_mub_per_atom": 0.000,
  "total_energy_ev_per_fu": -22.1
}

=====

{
  "formula": "RhS2F",
  "functional": "GGA-PBE",
  "state": "relaxed",
  "lattice_angstrom": [[-4.073, 4.048, 3.362], [-4.837, 0.722, 4.512], [-1.991, 2.479, 5.846]],
  "species": ["S", "F", "Rh", "S"],
  "fractional_positions": [[0.892, 0.892, 0.892], [0.000, 0.000, 0.000], [0.500, 0.500, 0.500], [0.108, 0.108, 0.108]],
  "e_form_raw_ev_per_atom": -0.5173,
  "total_magnetization_mub_per_atom": 0.000,
  "polymorph_energy_kj_per_mol_atoms": 0.0,
  "total_energy_ev_per_fu": -19.5
}

=====

{
  "formula": "RhS2F",
  "functional": "GGA-PBE",
  "state": "relaxed",
  "lattice_angstrom": [[3.926, -7.159, 2.822], [4.256, -7.516, 0.159], [6.017, -6.002, 1.550]],
  "species": ["Rh", "F", "S", "S"],
  "fractional_positions": [[0.000, 0.000, 0.000], [0.500, 0.500, 0.500], [0.911, 0.911, 0.911], [0.089, 0.089, 0.089]],
  "e_form_raw_ev_per_atom": 0.1859,
  "total_magnetization_mub_per_atom": 0.000,
  "polymorph_energy_kj_per_mol_atoms": 67.9,
  "total_energy_ev_per_fu": -16.7
}

=====

{
  "formula": "RhS3F",
  "functional": "GGA-PBE",
  "state": "relaxed",
  "lattice_angstrom": [[4.686, 0.000, 0.000], [0.000, 4.686, 0.000], [0.000, 0.000, 4.686]],
  "species": ["Rh", "S", "S", "S", "F"],
  "fractional_positions": [[0.000, 0.000, 0.000], [0.500, 0.000, 0.000], [0.000, 0.000, 0.500], [0.000, 0.500, 0.000], [0.500, 0.500, 0.500]],
  "e_form_raw_ev_per_atom": 0.4767,
  "total_magnetization_mub_per_atom": 0.989,
  "total_energy_ev_per_fu": -19.2
}

=====

{
  "formula": "RhSF2",
  "functional": "GGA-PBE",
  "state": "relaxed",
  "lattice_angstrom": [[1.576, 0.000, 8.367], [-0.788, 1.365, 8.367], [-0.788, -1.365, 8.367]],
  "species": ["Rh", "F", "S", "F"],
  "fractional_positions": [[0.500, 0.500, 0.500], [0.071, 0.071, 0.071], [0.000, 0.000, 0.000], [0.929, 0.929, 0.929]],
  "e_form_raw_ev_per_atom": -0.3136,
  "total_magnetization_mub_per_atom": 0.394,
  "polymorph_energy_kj_per_mol_atoms": 21.5,
  "total_energy_ev_per_fu": -16.5
}

=====

{
  "formula": "RhSF2",
  "functional": "GGA-PBE",
  "state": "relaxed",
  "lattice_angstrom": [[-0.841, -2.738, 2.988], [-3.719, -0.004, 1.817], [-2.650, -3.098, -0.717]],
  "species": ["F", "S", "F", "Rh"],
  "fractional_positions": [[0.250, 0.250, 0.250], [0.000, 0.000, 0.000], [0.750, 0.750, 0.750], [0.500, 0.500, 0.500]],
  "e_form_raw_ev_per_atom": 0.1397,
  "total_magnetization_mub_per_atom": 0.494,
  "polymorph_energy_kj_per_mol_atoms": 65.3,
  "total_energy_ev_per_fu": -14.7
}

=====

{
  "formula": "RhSe2SF",
  "functional": "GGA-PBE",
  "state": "relaxed",
  "lattice_angstrom": [[4.842, 0.000, 0.000], [0.000, 3.756, 0.000], [0.000, 0.000, 4.842]],
  "species": ["S", "Se", "F", "Se", "Rh"],
  "fractional_positions": [[0.000, 0.000, 0.000], [0.000, 0.000, 0.500], [0.000, 0.500, 0.000], [0.500, 0.000, 0.000], [0.500, 0.500, 0.500]],
  "e_form_raw_ev_per_atom": 0.3010,
  "total_magnetization_mub_per_atom": 0.000,
  "total_energy_ev_per_fu": -18.8
}

=====

{
  "formula": "TiRhSF2",
  "functional": "GGA-PBE",
  "state": "relaxed",
  "lattice_angstrom": [[-1.865, -3.736, -0.394], [2.907, -1.120, -3.139], [2.552, -1.583, 2.928]],
  "species": ["S", "Rh", "Ti", "F", "F"],
  "fractional_positions": [[0.000, 0.000, 0.000], [0.000, 0.500, 0.000], [0.500, 0.500, 0.500], [0.500, 0.000, 0.000], [0.000, 0.000, 0.500]],
  "e_form_raw_ev_per_atom": -0.2106,
  "total_magnetization_mub_per_atom": 0.000,
  "total_energy_ev_per_fu": -24.2
}

=====

{
  "formula": "ZrRhS2F",
  "functional": "GGA-PBE",
  "state": "relaxed",
  "lattice_angstrom": [[4.570, 0.000, 0.000], [0.000, 3.914, 0.000], [0.000, 0.000, 4.570]],
  "species": ["Rh", "S", "S", "F", "Zr"],
  "fractional_positions": [[0.000, 0.500, 0.000], [0.500, 0.000, 0.000], [0.000, 0.000, 0.500], [0.000, 0.000, 0.000], [0.500, 0.500, 0.500]],
  "e_form_raw_ev_per_atom": -0.0071,
  "total_magnetization_mub_per_atom": 0.000,
  "total_energy_ev_per_fu": -26.1
}

=====

{
  "formula": "SbRh3F",
  "functional": "GGA-PBE",
  "state": "relaxed",
  "lattice_angstrom": [[-0.417, 4.000, 1.635], [-3.800, -1.122, 1.774], [2.057, -1.261, 3.609]],
  "species": ["Rh", "Sb", "F", "Rh", "Rh"],
  "fractional_positions": [[0.500, 0.000, 0.000], [0.500, 0.500, 0.500], [0.000, 0.000, 0.000], [0.000, 0.000, 0.500], [0.000, 0.500, 0.000]],
  "e_form_raw_ev_per_atom": 0.4085,
  "total_magnetization_mub_per_atom": 0.475,
  "polymorph_energy_kj_per_mol_atoms": 0.0,
  "total_energy_ev_per_fu": -26.0
}

=====

{
  "formula": "Sb3RhF",
  "functional": "GGA-PBE",
  "state": "relaxed",
  "lattice_angstrom": [[-0.911, 4.681, 0.410], [-1.476, -0.682, 4.502], [4.461, 0.731, 1.574]],
  "species": ["Sb", "F", "Sb", "Rh", "Sb"],
  "fractional_positions": [[0.000, 0.500, 0.000], [0.000, 0.000, 0.000], [0.500, 0.000, 0.000], [0.500, 0.500, 0.500], [0.000, 0.000, 0.500]],
  "e_form_raw_ev_per_atom": 0.1287,
  "total_magnetization_mub_per_atom": 0.000,
  "polymorph_energy_kj_per_mol_atoms": 5.9,
  "total_energy_ev_per_fu": -20.9
}

=====

{
  "formula": "SbRh3F",
  "functional": "GGA-PBE",
  "state": "relaxed",
  "lattice_angstrom": [[4.922, 0.000, 0.000], [0.000, 4.922, 0.000], [0.000, 0.000, 4.922]],
  "species": ["Sb", "Rh", "F", "Rh", "Rh"],
  "fractional_positions": [[0.000, 0.000, 0.000], [0.500, 0.000, 0.000], [0.500, 0.500, 0.500], [0.000, 0.500, 0.000], [0.000, 0.000, 0.500]],
  "e_form_raw_ev_per_atom": 0.9641,
  "total_magnetization_mub_per_atom": 0.428,
  "polymorph_energy_kj_per_mol_atoms": 53.6,
  "total_energy_ev_per_fu": -23.2
}

=====

{
  "formula": "Sb3RhF",
  "functional": "GGA-PBE",
  "state": "relaxed",
  "lattice_angstrom": [[-3.681, 0.730, -3.506], [2.708, -2.723, -3.410], [-2.343, -4.293, 1.567]],
  "species": ["F", "Rh", "Sb", "Sb", "Sb"],
  "fractional_positions": [[0.500, 0.500, 0.500], [0.000, 0.000, 0.000], [0.500, 0.000, 0.000], [0.000, 0.000, 0.500], [0.000, 0.500, 0.000]],
  "e_form_raw_ev_per_atom": 0.0676,
  "total_magnetization_mub_per_atom": 0.181,
  "polymorph_energy_kj_per_mol_atoms": 0.0,
  "total_energy_ev_per_fu": -21.3
}

=====

{
  "formula": "Sr2SbRhF",
  "functional": "GGA-PBE",
  "state": "relaxed",
  "lattice_angstrom": [[5.084, 0.000, 0.000], [0.000, 4.617, 0.000], [0.000, 0.000, 5.084]],
  "species": ["Sr", "Sr", "Rh", "F", "Sb"],
  "fractional_positions": [[0.000, 0.000, 0.500], [0.500, 0.000, 0.000], [0.000, 0.500, 0.000], [0.000, 0.000, 0.000], [0.500, 0.500, 0.500]],
  "e_form_raw_ev_per_atom": -1.1009,
  "total_magnetization_mub_per_atom": 0.000,
  "total_energy_ev_per_fu": -22.2
}

=====

{
  "formula": "Sb2TeRhF",
  "functional": "GGA-PBE",
  "state": "relaxed",
  "lattice_angstrom": [[4.661, 0.000, 0.000], [0.000, 4.661, 0.000], [0.000, 0.000, 5.181]],
  "species": ["Sb", "Te", "Sb", "F", "Rh"],
  "fractional_positions": [[0.500, 0.000, 0.000], [0.000, 0.000, 0.500], [0.000, 0.500, 0.000], [0.000, 0.000, 0.000], [0.500, 0.500, 0.500]],
  "e_form_raw_ev_per_atom": 0.2089,
  "total_magnetization_mub_per_atom": 0.000,
  "polymorph_energy_kj_per_mol_atoms": 13.1,
  "total_energy_ev_per_fu": -19.6
}

=====

{
  "formula": "SbTe2RhF",
  "functional": "GGA-PBE",
  "state": "relaxed",
  "lattice_angstrom": [[5.104, 0.000, 0.000], [0.000, 5.104, 0.000], [0.000, 0.000, 4.460]],
  "species": ["Sb", "Te", "Te", "F", "Rh"],
  "fractional_positions": [[0.000, 0.000, 0.500], [0.000, 0.500, 0.000], [0.500, 0.000, 0.000], [0.000, 0.000, 0.000], [0.500, 0.500, 0.500]],
  "e_form_raw_ev_per_atom": 0.3396,
  "total_magnetization_mub_per_atom": 0.126,
  "polymorph_energy_kj_per_mol_atoms": 23.3,
  "total_energy_ev_per_fu": -17.9
}

=====

{
  "formula": "SbTe2RhF",
  "functional": "GGA-PBE",
  "state": "relaxed",
  "lattice_angstrom": [[5.216, 0.000, 0.000], [0.000, 5.216, 0.000], [0.000, 0.000, 5.102]],
  "species": ["F", "Te", "Sb", "Rh", "Te"],
  "fractional_positions": [[0.500, 0.500, 0.500], [0.500, 0.000, 0.000], [0.000, 0.000, 0.500], [0.000, 0.000, 0.000], [0.000, 0.500, 0.000]],
  "e_form_raw_ev_per_atom": 0.0982,
  "total_magnetization_mub_per_atom": 0.000,
  "polymorph_energy_kj_per_mol_atoms": 0.0,
  "total_energy_ev_per_fu": -19.1
}

=====

{
  "formula": "Sb2TeRhF",
  "functional": "GGA-PBE",
  "state": "relaxed",
  "lattice_angstrom": [[5.121, 0.000, 0.000], [0.000, 5.121, 0.000], [0.000, 0.000, 5.228]],
  "species": ["Sb", "F", "Sb", "Te", "Rh"],
  "fractional_positions": [[0.500, 0.000, 0.000], [0.500, 0.500, 0.500], [0.000, 0.500, 0.000], [0.000, 0.000, 0.500], [0.000, 0.000, 0.000]],
  "e_form_raw_ev_per_atom": 0.0733,
  "total_magnetization_mub_per_atom": 0.000,
  "polymorph_energy_kj_per_mol_atoms": 0.0,
  "total_energy_ev_per_fu": -20.2
}

=====

{
  "formula": "ScRhF2",
  "functional": "GGA-PBE",
  "state": "relaxed",
  "lattice_angstrom": [[-1.355, 0.913, -3.468], [-3.378, -1.570, 0.906], [-4.684, 6.164, 1.333]],
  "species": ["Rh", "Rh", "Sc", "Sc", "F", "F", "F", "F"],
  "fractional_positions": [[0.750, 0.250, 0.500], [0.000, 0.000, 0.000], [0.500, 0.500, 0.000], [0.250, 0.750, 0.500], [0.875, 0.842, 0.750], [0.158, 0.625, 0.250], [0.375, 0.408, 0.750], [0.592, 0.125, 0.250]],
  "e_form_raw_ev_per_atom": -1.7647,
  "total_magnetization_mub_per_atom": 0.000,
  "polymorph_energy_kj_per_mol_atoms": 0.0,
  "total_energy_ev_per_fu": -24.5
}